# 1
A plane-wave DFT calculation with PBE was carried out for an optimized crystal structure of MgTi2B2Rh5.

Geometry as POSCAR:
```
MgTi2B2Rh5
1.0
-0.925 2.601 1.269
-8.782 -2.140 -2.012
-0.828 -4.280 8.170
Rh Mg Ti B
10 2 4 4
direct
0.500 0.572 0.719
0.500 0.219 0.072
0.500 0.428 0.281
0.500 0.781 0.928
0.500 0.719 0.428
0.500 0.000 0.500
0.500 0.072 0.781
0.500 0.928 0.219
0.500 0.500 0.000
0.500 0.281 0.572
0.000 0.500 0.500
0.000 0.000 0.000
0.000 0.824 0.676
0.000 0.676 0.176
0.000 0.324 0.824
0.000 0.176 0.324
0.000 0.374 0.126
0.000 0.874 0.374
0.000 0.626 0.874
0.000 0.126 0.626
```

Space-group type: No. 127
DFT formation energy (eV per atom): -0.683
VASP energy (Ha/atom): -0.2731
Calculated volume (Å³/cell): 261

=====

# 2
A plane-wave DFT calculation with PBE was carried out for an optimized crystal structure of Mg2TlB2Rh5.

Geometry as POSCAR:
```
Mg2TlB2Rh5
1.0
2.982 0.000 0.000
0.000 9.737 0.000
0.000 0.000 9.737
Mg B Rh Tl
4 4 10 2
direct
0.000 0.677 0.177
0.000 0.823 0.677
0.000 0.323 0.823
0.000 0.177 0.323
0.000 0.123 0.623
0.000 0.623 0.877
0.000 0.377 0.123
0.000 0.877 0.377
0.500 0.070 0.772
0.500 0.430 0.272
0.500 0.728 0.430
0.500 0.272 0.570
0.500 0.570 0.728
0.500 0.500 0.000
0.500 0.772 0.930
0.500 0.930 0.228
0.500 0.000 0.500
0.500 0.228 0.070
0.000 0.000 0.000
0.000 0.500 0.500
```

Space-group type: No. 127
DFT formation energy (eV per atom): -0.457
VASP energy (Ha/atom): -0.2214
Calculated volume (Å³/cell): 283

=====

# 3
A plane-wave DFT calculation with PBE was carried out for an optimized crystal structure of Mg2VB2Rh5.

Geometry as POSCAR:
```
Mg2VB2Rh5
1.0
-1.564 -2.167 1.134
-0.893 -3.856 -8.599
7.924 -4.983 1.411
Rh Mg V B
10 4 2 4
direct
0.500 0.000 0.500
0.500 0.500 0.000
0.500 0.214 0.071
0.500 0.714 0.429
0.500 0.071 0.786
0.500 0.571 0.714
0.500 0.786 0.929
0.500 0.929 0.214
0.500 0.429 0.286
0.500 0.286 0.571
0.000 0.676 0.176
0.000 0.324 0.824
0.000 0.176 0.324
0.000 0.824 0.676
0.000 0.500 0.500
0.000 0.000 0.000
0.000 0.376 0.124
0.000 0.124 0.624
0.000 0.876 0.376
0.000 0.624 0.876
```

Space-group type: No. 127
DFT formation energy (eV per atom): -0.541
VASP energy (Ha/atom): -0.2493
Calculated volume (Å³/cell): 260

=====

# 4
A plane-wave DFT calculation with PBE was carried out for an optimized crystal structure of Y2MgBRh.

Geometry as POSCAR:
```
Y2MgBRh
1.0
5.145 0.000 0.000
0.000 5.145 0.000
0.000 0.000 4.014
Y Rh B Mg
2 1 1 1
direct
0.000 0.500 0.000
0.500 0.000 0.000
0.000 0.000 0.500
0.000 0.000 0.000
0.500 0.500 0.500
```

Space-group type: No. 123
DFT formation energy (eV per atom): -0.371
VASP energy (Ha/atom): -0.2235
Calculated volume (Å³/cell): 106

=====

# 5
A plane-wave DFT calculation with PBE was carried out for an optimized crystal structure of Mg3Zn2BRh3.

Geometry as POSCAR:
```
Mg3Zn2BRh3
1.0
3.005 0.000 0.000
0.000 6.972 0.000
0.000 -3.486 6.038
Mg Rh Zn B
3 3 2 1
direct
0.000 0.000 0.377
0.000 0.623 0.623
0.000 0.377 0.000
0.500 0.759 0.000
0.500 0.241 0.241
0.500 0.000 0.759
0.500 0.667 0.333
0.500 0.333 0.667
0.000 0.000 0.000
```

Space-group type: No. 189
DFT formation energy (eV per atom): -0.459
VASP energy (Ha/atom): -0.1641
Calculated volume (Å³/cell): 127

=====

# 6
A plane-wave DFT calculation with PBE was carried out for an optimized crystal structure of Mg2Zn2BRh4.

Geometry as POSCAR:
```
Mg2Zn2BRh4
1.0
-2.373 -1.664 4.761
5.144 -1.846 -1.095
1.376 5.383 -0.446
Rh Mg Zn B
4 2 2 1
direct
0.498 0.749 0.749
0.000 0.251 0.749
0.000 0.749 0.251
0.502 0.251 0.251
0.500 0.750 0.250
0.500 0.250 0.750
0.000 0.281 0.281
0.000 0.719 0.719
0.000 0.000 0.000
```

Space-group type: No. 139
DFT formation energy (eV per atom): -0.456
VASP energy (Ha/atom): -0.1875
Calculated volume (Å³/cell): 127

=====

# 7
A plane-wave DFT calculation with PBE was carried out for an optimized crystal structure of Mg2ZnB2Rh5.

Geometry as POSCAR:
```
Mg2ZnB2Rh5
1.0
-1.264 -0.169 2.629
6.454 -6.337 2.696
5.546 6.973 3.114
Mg Rh Zn B
4 10 2 4
direct
0.000 0.176 0.324
0.000 0.824 0.676
0.000 0.676 0.176
0.000 0.324 0.824
0.500 0.217 0.071
0.500 0.429 0.283
0.500 0.071 0.783
0.500 0.571 0.717
0.500 0.783 0.929
0.500 0.283 0.571
0.500 0.000 0.500
0.500 0.500 0.000
0.500 0.929 0.217
0.500 0.717 0.429
0.000 0.000 0.000
0.000 0.500 0.500
0.000 0.627 0.873
0.000 0.373 0.127
0.000 0.127 0.627
0.000 0.873 0.373
```

Space-group type: No. 127
DFT formation energy (eV per atom): -0.595
VASP energy (Ha/atom): -0.2224
Calculated volume (Å³/cell): 260

=====

# 8
A plane-wave DFT calculation with PBE was carried out for an optimized crystal structure of Mg2ZrB2Rh5.

Geometry as POSCAR:
```
Mg2ZrB2Rh5
1.0
-2.348 -0.106 1.890
5.981 -1.910 7.323
0.940 9.449 1.698
Rh B Mg Zr
10 4 4 2
direct
0.500 0.277 0.572
0.500 0.223 0.072
0.500 0.428 0.277
0.500 0.928 0.223
0.500 0.500 0.000
0.500 0.072 0.777
0.500 0.723 0.428
0.500 0.000 0.500
0.500 0.777 0.928
0.500 0.572 0.723
0.000 0.621 0.879
0.000 0.879 0.379
0.000 0.379 0.121
0.000 0.121 0.621
0.000 0.323 0.823
0.000 0.823 0.677
0.000 0.677 0.177
0.000 0.177 0.323
0.000 0.500 0.500
0.000 0.000 0.000
```

Space-group type: No. 127
DFT formation energy (eV per atom): -0.595
VASP energy (Ha/atom): -0.2492
Calculated volume (Å³/cell): 281